Below is an optimized crystal structure of KRhBr4, with properties calculated at the PBE level.

Computed properties:
Space-group type ... C2/c, No. 15
Energy relative to the lowest polymorph listed for this composition ... 0.000 eV per atom
Crystal system ... monoclinic

Unit cell a=6.4398 b=8.1580 c=10.5754 alpha=120.09 beta=116.80 gamma=67.68
With the nearest neighbours (Å) after each atom.
Atoms (fractional coordinates):
K 0.4345 0.6845 0.3690  6 Br 3.28-3.40
K 0.5655 0.3155 0.6310  6 Br 3.28-3.40
Rh 0.3048 0.0548 0.1096  6 Br 2.51-2.53
Rh 0.6952 0.9452 0.8904  6 Br 2.51-2.53
Br 0.9377 0.1339 0.9023  2 Rh 2.51-2.53
Br 0.8355 0.6409 0.6867  1 Rh 2.51
Br 0.4647 0.7685 0.9023  2 Rh 2.51-2.53
Br 0.3512 0.0458 0.6867  1 Rh 2.51
Br 0.6488 0.9542 0.3133  1 Rh 2.51
Br 0.5353 0.2315 0.0977  2 Rh 2.51-2.53
Br 0.1645 0.3591 0.3133  1 Rh 2.51
Br 0.0623 0.8661 0.0977  2 Rh 2.51-2.53


Below is an optimized crystal structure of K2RhBr5, with properties calculated at the PBE level.

Computed properties:
Space-group type ... Cm, No. 8
Energy relative to the lowest polymorph listed for this composition ... 0.005 eV per atom
Fermi-level density of states ... 4.5 states/eV/cell
Crystal system ... monoclinic

Unit cell a=5.0343 b=8.4187 c=7.7465 alpha=117.31 beta=89.99 gamma=107.42
With the nearest neighbours (Å) after each atom.
Atoms (fractional coordinates):
K 0.3928 0.6886 0.3476  6 Br 3.31-3.37
K 0.7322 0.3674 0.6868  6 Br 3.31-3.38
Rh 0.0627 0.0280 0.0209  6 Br 2.51-2.57
Br 0.9315 0.7656 0.1180  1 Rh 2.56
Br 0.1933 0.2891 0.3801  1 Rh 2.56
Br 0.9372 0.7775 0.6660  1 Rh 2.51
Br 0.1881 0.2797 0.9176  1 Rh 2.51
Br 0.5623 0.0272 0.0862  2 Rh 2.57


Below is an optimized crystal structure of KRh2Br, with properties calculated at the PBE level.

Computed properties:
Space-group type ... Imm2, No. 44
Energy relative to the lowest polymorph listed for this composition ... 0.256 eV per atom
Fermi-level density of states ... 4.0 states/eV/cell
Crystal system ... orthorhombic

Unit cell a=5.9384 b=5.9384 c=5.9384 alpha=143.83 beta=119.50 gamma=72.56
With the nearest neighbours (Å) after each atom.
Atoms (fractional coordinates):
Br 0.5670 0.5670 0.0000  2 Rh 2.56
K 0.2620 0.7620 0.5000  6 Rh 3.34-3.52, 4 Br 3.45-3.53, 2 K 3.69
Rh 0.9180 0.9180 0.0000  2 Rh 2.43
Rh 0.7530 0.2530 0.5000  2 Rh 2.43, 2 Br 2.56


Below is an optimized crystal structure of KRhBr, with properties calculated at the PBE level.

Computed properties:
Space-group type ... F-43m, No. 216
Energy relative to the lowest polymorph listed for this composition ... 0.721 eV per atom
Fermi-level density of states ... 4.3 states/eV/cell
Crystal system ... cubic

Unit cell a=5.1269 b=5.1269 c=5.1269 alpha=60.00 beta=60.00 gamma=60.00
With the nearest neighbours (Å) after each atom.
Atoms (fractional coordinates):
Br 0.5000 0.5000 0.5000  4 K 3.14
K 0.7500 0.7500 0.7500  4 Br 3.14, 4 Rh 3.14
Rh 0.0000 0.0000 0.0000  4 K 3.14


Below is an optimized crystal structure of KRh4Br, with properties calculated at the PBE level.

Computed properties:
Space-group type ... F-43m, No. 216
VASP energy ... -28.1 eV per cell
Fermi-level density of states ... 12.0 states/eV/cell
Crystal system ... cubic

Unit cell a=5.4133 b=5.4133 c=5.4133 alpha=60.00 beta=60.00 gamma=60.00
With the nearest neighbours (Å) after each atom.
Atoms (fractional coordinates):
K 0.0000 0.0000 0.0000  12 Rh 3.17, 4 Br 3.31
Rh 0.8737 0.3754 0.3754  6 Rh 2.70-2.72
Rh 0.3754 0.3754 0.8737  6 Rh 2.70-2.72
Rh 0.3754 0.8737 0.3754  6 Rh 2.70-2.72
Rh 0.3754 0.3754 0.3754  6 Rh 2.70-2.72
Br 0.7500 0.7500 0.7500  12 Rh 3.17, 4 K 3.31


Below is an optimized crystal structure of KRh2Br, with properties calculated at the PBE level.

Computed properties:
Space-group type ... Fm-3m, No. 225
Energy relative to the lowest polymorph listed for this composition ... 0.792 eV per atom
Fermi-level density of states ... 1.7 states/eV/cell
Crystal system ... cubic

Unit cell a=4.7979 b=4.7979 c=4.7979 alpha=60.00 beta=60.00 gamma=60.00
With the nearest neighbours (Å) after each atom.
Atoms (fractional coordinates):
K 0.0000 0.0000 0.0000  8 Rh 2.94
Rh 0.2500 0.2500 0.2500  4 Br 2.94, 4 K 2.94
Rh 0.7500 0.7500 0.7500  4 Br 2.94, 4 K 2.94
Br 0.5000 0.5000 0.5000  8 Rh 2.94


Below is an optimized crystal structure of KRh2Br, with properties calculated at the PBE level.

Computed properties:
Space-group type ... Cm, No. 8
Energy relative to the lowest polymorph listed for this composition ... 0.095 eV per atom
Fermi-level density of states ... 3.1 states/eV/cell
Crystal system ... monoclinic

Unit cell a=4.6431 b=4.6431 c=6.5634 alpha=69.99 beta=69.99 gamma=49.68
With the nearest neighbours (Å) after each atom.
Atoms (fractional coordinates):
Br 0.4541 0.4541 0.6095  4 Rh 2.71
K 0.2675 0.2675 0.2375  3 Br 3.37-3.45, 5 Rh 3.44-3.61
Rh 0.0475 0.0475 0.8282  3 Rh 2.48-2.68, 2 Br 2.71
Rh 0.7308 0.7308 0.8249  3 Rh 2.48-2.68, 2 Br 2.71


Below is an optimized crystal structure of KRhSeBr2, with properties calculated at the PBE level.

Computed properties:
Space-group type ... P4/mmm, No. 123
Energy relative to the lowest polymorph listed for this composition ... 1.456 eV per atom
Fermi-level density of states ... 15.5 states/eV/cell
Crystal system ... tetragonal

Unit cell a=5.9017 b=5.9017 c=5.9112 alpha=90.00 beta=90.00 gamma=90.00
With the nearest neighbours (Å) after each atom.
Atoms (fractional coordinates):
K 0.0000 0.0000 0.0000  4 Br 2.95, 2 Se 2.96
Rh 0.5000 0.5000 0.5000  4 Se 4.17, 8 Br 4.18
Se 0.0000 0.0000 0.5000  2 K 2.96
Br 0.0000 0.5000 0.0000  2 K 2.95
Br 0.5000 0.0000 0.0000  2 K 2.95


Below is an optimized crystal structure of KRhSeBr2, with properties calculated at the PBE level.

Computed properties:
Space-group type ... P4/mmm, No. 123
Energy relative to the lowest polymorph listed for this composition ... 0.000 eV per atom
Fermi-level density of states ... 4.0 states/eV/cell
Crystal system ... tetragonal

Unit cell a=5.4416 b=5.4416 c=4.7020 alpha=90.00 beta=90.00 gamma=90.00
With the nearest neighbours (Å) after each atom.
Atoms (fractional coordinates):
K 0.5000 0.5000 0.5000  8 Br 3.60, 4 Se 3.85
Rh 0.0000 0.0000 0.0000  2 Se 2.35
Se 0.0000 0.0000 0.5000  2 Rh 2.35
Br 0.0000 0.5000 0.0000  2 Rh 2.72
Br 0.5000 0.0000 0.0000  2 Rh 2.72


Below is an optimized crystal structure of K2SnRhBr, with properties calculated at the PBE level.

Computed properties:
Space-group type ... P4/mmm, No. 123
VASP energy ... -16.7 eV per cell
Fermi-level density of states ... 0.8 states/eV/cell
Crystal system ... tetragonal

Unit cell a=6.1660 b=4.9837 c=6.1660 alpha=90.00 beta=90.00 gamma=90.00
With the nearest neighbours (Å) after each atom.
Atoms (fractional coordinates):
K 0.0000 0.0000 0.5000  2 Rh 3.08
K 0.5000 0.0000 0.0000  2 Rh 3.08
Rh 0.0000 0.0000 0.0000  2 Sn 2.49
Sn 0.0000 0.5000 0.0000  2 Rh 2.49
Br 0.5000 0.5000 0.5000  8 K 3.96, 4 Sn 4.36


Below is an optimized crystal structure of KTcRh2Br, with properties calculated at the PBE level.

Computed properties:
Space-group type ... P4/mmm, No. 123
VASP energy ... -25.0 eV per cell
Fermi-level density of states ... 4.4 states/eV/cell
Crystal system ... tetragonal

Unit cell a=4.7072 b=5.4930 c=4.7072 alpha=90.00 beta=90.00 gamma=90.00
With the nearest neighbours (Å) after each atom.
Atoms (fractional coordinates):
K 0.5000 0.5000 0.5000  4 Br 3.33, 8 Rh 3.62
Rh 0.0000 0.0000 0.5000  2 Tc 2.35
Rh 0.5000 0.0000 0.0000  2 Tc 2.35
Tc 0.0000 0.0000 0.0000  4 Rh 2.35
Br 0.0000 0.5000 0.0000  2 Tc 2.75


Below is an optimized crystal structure of K2TlRhBr6, with properties calculated at the PBE level.

Computed properties:
Space-group type ... R-3, No. 148
VASP energy ... -32.0 eV per cell
Crystal system ... trigonal

Unit cell a=8.0601 b=8.0578 c=7.6364 alpha=58.18 beta=58.21 gamma=60.03
With the nearest neighbours (Å) after each atom.
Atoms (fractional coordinates):
K 0.5495 0.5500 0.3509  6 Br 3.36-3.49
K 0.0829 0.0825 0.7519  6 Br 3.36-3.48
Tl 0.8162 0.8161 0.5515  6 Br 3.22
Rh 0.3162 0.3161 0.0515  6 Br 2.53
Br 0.5148 0.1860 0.2909  1 Rh 2.53
Br 0.1859 0.0085 0.2900  1 Rh 2.53
Br 0.0084 0.5153 0.2900  1 Rh 2.53
Br 0.4464 0.6238 0.8132  1 Rh 2.53
Br 0.6239 0.1169 0.8131  1 Rh 2.53
Br 0.1175 0.4463 0.8122  1 Rh 2.53


Below is an optimized crystal structure of KZnRh2Br, with properties calculated at the PBE level.

Computed properties:
Space-group type ... P4/mmm, No. 123
VASP energy ... -10.3 eV per cell
Fermi-level density of states ... 4.2 states/eV/cell
Crystal system ... tetragonal

Unit cell a=5.1141 b=5.4620 c=5.1141 alpha=90.00 beta=90.00 gamma=90.00
With the nearest neighbours (Å) after each atom.
Atoms (fractional coordinates):
Zn 0.0000 0.5000 0.0000  2 K 2.73
Rh 0.0000 0.0000 0.5000  2 K 2.56
Rh 0.5000 0.0000 0.0000  2 K 2.56
K 0.0000 0.0000 0.0000  4 Rh 2.56, 2 Zn 2.73
Br 0.5000 0.5000 0.5000  4 Zn 3.62, 8 Rh 3.74